(1)
! Pr3Ho3ErTe8 PBE optimized geometry; values from VASP
! Uncorrected formation energy (eV per atom): -1.40
! Crystal system: trigonal
! Calculated volume (Å³ per cell): 487
! Electronic total energy (eV/cell): -78.7
&SYSTEM
  ibrav = 0, nat = 15, ntyp = 4
/
ATOMIC_SPECIES
Pr 140.91 Pr.upf
Ho 164.93 Ho.upf
Er 167.26 Er.upf
Te 127.60 Te.upf
CELL_PARAMETERS angstrom
8.788 0.000 0.000
-4.394 7.610 -0.027
0.000 -5.048 7.295
ATOMIC_POSITIONS angstrom
Pr 0.000 0.000 0.000
Pr -2.197 3.805 -0.013
Pr 2.197 3.805 -0.013
Ho 4.394 -2.524 3.647
Ho 2.197 1.281 3.634
Ho -2.197 1.281 3.634
Er 0.000 -2.524 3.647
Te 0.000 2.543 1.921
Te 4.394 0.019 5.347
Te 4.394 2.487 1.882
Te 0.000 0.076 5.386
Te 6.542 -1.233 1.895
Te -2.148 3.796 5.373
Te 2.246 -1.233 1.895
Te 2.148 3.796 5.373



(2)
! Nd2CoOs PBE optimized geometry; values from VASP
! Crystal system: trigonal
! Calculated volume (Å³ per cell): 105
! Electronic total energy (eV/cell): -28.2
&SYSTEM
  ibrav = 0, nat = 4, ntyp = 3
/
ATOMIC_SPECIES
Nd 144.24 Nd.upf
Co 58.93 Co.upf
Os 190.23 Os.upf
CELL_PARAMETERS angstrom
4.036 0.000 0.893
1.921 3.554 0.886
0.465 0.295 7.462
ATOMIC_POSITIONS angstrom
Nd 5.114 2.491 5.586
Nd 3.841 1.721 1.771
Co 2.732 1.074 6.782
Os 2.654 3.435 7.134



(3)
! LiZr2Pb PBE optimized geometry; values from VASP
! Crystal system: tetragonal
! Calculated volume (Å³ per cell): 179
! Electronic total energy (eV/cell): -43.6
&SYSTEM
  ibrav = 0, nat = 8, ntyp = 3
/
ATOMIC_SPECIES
Pb 207.20 Pb.upf
Zr 91.22 Zr.upf
Li 6.94 Li.upf
CELL_PARAMETERS angstrom
8.011 0.000 0.000
0.000 8.011 0.000
4.006 4.006 2.791
ATOMIC_POSITIONS angstrom
Pb 0.000 0.000 0.000
Pb 8.011 4.006 1.396
Zr 5.941 2.003 0.698
Zr 2.070 6.009 0.698
Zr 6.009 6.076 2.093
Zr 10.014 9.947 2.093
Li 4.006 4.006 0.000
Li 4.006 8.011 1.396



(4)
! CsAg2AsI6 PBE optimized geometry; values from VASP
! Uncorrected formation energy (eV per atom): -0.43
! Crystal system: monoclinic
! Calculated volume (Å³ per cell): 960
! Electronic total energy (eV/cell): -49.7
&SYSTEM
  ibrav = 0, nat = 20, ntyp = 4
/
ATOMIC_SPECIES
Cs 132.91 Cs.upf
Ag 107.87 Ag.upf
As 74.92 As.upf
I 126.90 I.upf
CELL_PARAMETERS angstrom
8.534 0.358 0.371
3.199 10.740 0.690
3.199 0.291 10.758
ATOMIC_POSITIONS angstrom
Cs 5.333 9.483 2.080
Cs 9.599 1.906 9.740
Ag 6.498 8.454 7.936
Ag 4.167 3.593 2.892
Ag 8.433 2.935 3.883
Ag 10.765 7.797 8.928
As 5.333 3.096 8.234
As 9.599 8.293 3.585
I 4.649 0.451 8.059
I 6.016 3.173 10.884
I 10.283 10.938 3.760
I 8.916 8.216 0.935
I 7.329 7.867 5.134
I 3.336 6.372 3.582
I 7.603 3.522 6.686
I 11.596 5.018 8.238
I 12.457 9.616 7.772
I 6.742 4.158 2.108
I 2.475 1.773 4.048
I 8.190 7.231 9.712



What is the calculated volume in the fourth record? 960 Å³ per cell